VASP calculation (GGA-PBE) on crystalline LiMo2Ru at its relaxed geometry.

Cell: 4.334 4.334 4.334 Å, 60.00 60.00 60.00°
Positions (direct):
Mo 0.000 0.000 0.000
Mo 0.250 0.250 0.250
Li 0.500 0.500 0.500
Ru 0.750 0.750 0.750

Results
The calculation puts the total magnetization at 0.01 μB per formula unit. The total energy is -7.9401 eV per atom. Its crystal system is cubic. The value obtained for the density of states at the Fermi level is 6.5 states/eV/cell. Its energy of formation from the pure elements is 0.273 eV per atom. The energy above the most stable polymorph in this dataset is 61 meV/atom.